Compound: Er2AlGa2Rh5
Source: Alexandria
Functional: GGA-PBE
Structure: optimized geometry

```
data_Er2AlGa2Rh5
_chemical_formula_sum 'Er4 Al2 Ga4 Rh10'
_cell_length_a 9.8031
_cell_length_b 9.8031
_cell_length_c 3.4528
_cell_angle_alpha 90.00
_cell_angle_beta 90.00
_cell_angle_gamma 90.00
_space_group_name_H-M_alt 'P 4/m b m'
_space_group_IT_number 127
_space_group_name_Hall '-P 4 2ab'
loop_
_atom_site_label
_atom_site_fract_x
_atom_site_fract_y
_atom_site_fract_z
Er1 0.1723 0.3277 0.0000
Al1 0.0000 0.0000 0.0000
Ga1 0.1271 0.6271 0.0000
Rh1 0.0000 0.5000 0.5000
Rh2 0.0657 0.8000 0.5000
```

## Properties
- raw total energy (eV/atom) = -6.42
- magnetic moment (μB per cell) = 0.000

Compound: TaI3Br3
Source: Alexandria
Functional: GGA-PBE
Structure: optimized geometry

```
data_TaI3Br3
_chemical_formula_sum 'Ta3 I9 Br9'
_cell_length_a 12.4599
_cell_length_b 12.4599
_cell_length_c 6.9741
_cell_angle_alpha 90.00
_cell_angle_beta 90.00
_cell_angle_gamma 120.00
_space_group_name_H-M_alt 'R 3 m'
_space_group_IT_number 160
_space_group_name_Hall 'R 3 -2"'
loop_
_atom_site_label
_atom_site_fract_x
_atom_site_fract_y
_atom_site_fract_z
Ta1 0.0000 0.0000 0.0000
I1 0.1963 0.0981 0.2659
Br1 0.1866 0.0933 0.7878
```

## Properties
- raw total energy (eV/atom) = -3.52
- energy relative to the elements, uncorrected (meV per atom) = -446
- magnetic moment (μB per cell) = 0.000

Compound: SrZnOs2
Source: Alexandria
Functional: GGA-PBE
Structure: optimized geometry

```
data_SrZnOs2
_chemical_formula_sum 'Sr2 Zn2 Os4'
_cell_length_a 8.3749
_cell_length_b 2.9663
_cell_length_c 6.6504
_cell_angle_alpha 90.00
_cell_angle_beta 98.03
_cell_angle_gamma 90.00
_space_group_name_H-M_alt 'C 1 m 1'
_space_group_IT_number 8
loop_
_space_group_symop_operation_xyz
'x,y,z'
'x,-y,z'
'x+1/2,y+1/2,z'
'x+1/2,-y+1/2,z'
loop_
_atom_site_label
_atom_site_fract_x
_atom_site_fract_y
_atom_site_fract_z
Sr1 0.0000 0.0000 0.0000
Zn1 0.2329 0.0000 0.6779
Os1 0.2538 0.5000 0.3428
Os2 0.4958 0.0000 0.4680
```

## Properties
- raw total energy (eV/atom) = -5.92
- magnetic moment (μB per cell) = 0.000

Compound: YWSe
Source: Alexandria
Functional: GGA-PBE
Structure: optimized geometry

```
data_YWSe
_chemical_formula_sum 'Y4 W4 Se4'
_cell_length_a 6.4060
_cell_length_b 6.4060
_cell_length_c 6.4060
_cell_angle_alpha 90.00
_cell_angle_beta 90.00
_cell_angle_gamma 90.00
_space_group_name_H-M_alt 'F -4 3 m'
_space_group_IT_number 216
_space_group_name_Hall 'F -4 2 3'
loop_
_atom_site_label
_atom_site_fract_x
_atom_site_fract_y
_atom_site_fract_z
Y1 0.0000 0.0000 0.0000
W1 0.0000 0.0000 0.5000
Se1 0.2500 0.2500 0.2500
```

## Properties
- raw total energy (eV/atom) = -7.23
- energy relative to the elements, uncorrected (meV per atom) = 408
- magnetic moment (μB per cell) = 4.090
- energy above the most stable polymorph in this dataset (meV/atom) = 476

Compound: Y4Cu5
Source: Alexandria
Functional: GGA-PBE
Structure: optimized geometry

```
data_Y4Cu5
_chemical_formula_sum 'Y8 Cu10'
_cell_length_a 8.4361
_cell_length_b 8.4361
_cell_length_c 6.0859
_cell_angle_alpha 90.00
_cell_angle_beta 90.00
_cell_angle_gamma 120.00
_space_group_name_H-M_alt 'P 63/m c m'
_space_group_IT_number 193
_space_group_name_Hall '-P 6c 2'
loop_
_atom_site_label
_atom_site_fract_x
_atom_site_fract_y
_atom_site_fract_z
Y1 0.0000 0.0000 0.0000
Y2 0.0000 0.3725 0.2500
Cu1 0.0000 0.2998 0.7500
Cu2 0.3333 0.6667 0.0000
```

## Properties
- raw total energy (eV/atom) = -5.21
- magnetic moment (μB per cell) = 0.000
- energy above the most stable polymorph in this dataset (meV/atom) = 0

Compound: FeB2Mo
Source: Alexandria
Functional: GGA-PBE
Structure: optimized geometry

```
data_FeB2Mo
_chemical_formula_sum 'Fe4 B8 Mo4'
_cell_length_a 5.3154
_cell_length_b 5.3154
_cell_length_c 5.3154
_cell_angle_alpha 90.00
_cell_angle_beta 90.00
_cell_angle_gamma 90.00
_space_group_name_H-M_alt 'F m -3 m'
_space_group_IT_number 225
_space_group_name_Hall '-F 4 2 3'
loop_
_atom_site_label
_atom_site_fract_x
_atom_site_fract_y
_atom_site_fract_z
Fe1 0.0000 0.0000 0.0000
B1 0.2500 0.2500 0.2500
Mo1 0.0000 0.0000 0.5000
```

## Properties
- raw total energy (eV/atom) = -7.91
- magnetic moment (μB per cell) = 0.010
- energy above the most stable polymorph in this dataset (meV/atom) = 628

Compound: ScSiIr2
Source: Alexandria
Functional: GGA-PBE
Structure: optimized geometry

```
data_ScSiIr2
_chemical_formula_sum 'Sc1 Si1 Ir2'
_cell_length_a 4.1312
_cell_length_b 4.1312
_cell_length_c 3.4979
_cell_angle_alpha 90.00
_cell_angle_beta 90.00
_cell_angle_gamma 90.00
_space_group_name_H-M_alt 'P 4/m m m'
_space_group_IT_number 123
_space_group_name_Hall '-P 4 2'
loop_
_atom_site_label
_atom_site_fract_x
_atom_site_fract_y
_atom_site_fract_z
Sc1 0.0000 0.0000 0.0000
Si1 0.5000 0.5000 0.0000
Ir1 0.0000 0.5000 0.5000
```

## Properties
- raw total energy (eV/atom) = -8.16
- energy relative to the elements, uncorrected (meV per atom) = -789
- magnetic moment (μB per cell) = 0.000

Compound: PrZn3Ru
Source: Alexandria
Functional: GGA-PBE
Structure: optimized geometry

```
data_PrZn3Ru
_chemical_formula_sum 'Pr1 Zn3 Ru1'
_cell_length_a 4.7648
_cell_length_b 4.7648
_cell_length_c 4.7648
_cell_angle_alpha 90.00
_cell_angle_beta 90.00
_cell_angle_gamma 90.00
_space_group_name_H-M_alt 'P m -3 m'
_space_group_IT_number 221
_space_group_name_Hall '-P 4 2 3'
loop_
_atom_site_label
_atom_site_fract_x
_atom_site_fract_y
_atom_site_fract_z
Pr1 0.0000 0.0000 0.0000
Zn1 0.0000 0.5000 0.5000
Ru1 0.5000 0.5000 0.5000
```

## Properties
- raw total energy (eV/atom) = -3.65
- magnetic moment (μB per cell) = 0.000
- energy above the most stable polymorph in this dataset (meV/atom) = 131